Density functional theory data (PBE) for a geometry-optimized MgRe3I structure.

a = 4.8357 Å, b = 4.8357 Å, c = 4.8357 Å
α = 90.00°, β = 90.00°, γ = 90.00°
Positions (direct):
Mg1 0.0000 0.0000 0.0000
Re1 0.0000 0.5000 0.5000
Re2 0.5000 0.0000 0.5000
Re3 0.5000 0.5000 0.0000
I1 0.5000 0.5000 0.5000

Computed properties:
Total DFT energy (no corrections)   -5.5463 eV per atom
Spin magnetization   2.1 μB/f.u.
Volume   113.1 Å³ per cell
Formation energy without anion corrections   2551 meV/atom

***

Density functional theory data (PBE) for a geometry-optimized Mg3ReI structure.

a = 5.3117 Å, b = 5.3117 Å, c = 5.3117 Å
α = 90.00°, β = 90.00°, γ = 90.00°
Positions (direct):
Mg1 0.0000 0.0000 0.5000
Mg2 0.0000 0.5000 0.0000
Mg3 0.5000 0.0000 0.0000
Re1 0.5000 0.5000 0.5000
I1 0.0000 0.0000 0.0000

Computed properties:
Total DFT energy (no corrections)   -2.0841 eV per atom
Spin magnetization   2.5 μB/f.u.
Volume   149.9 Å³ per cell
Formation energy without anion corrections   1672 meV/atom

***

Density functional theory data (PBE) for a geometry-optimized MgRe2I structure.

a = 6.1699 Å, b = 6.1699 Å, c = 6.1699 Å
α = 100.23°, β = 100.23°, γ = 130.16°
Positions (direct):
Mg1 0.0000 0.0000 0.0000
Mg2 0.7500 0.2500 0.5000
Re1 0.1535 0.6250 0.0285
Re2 0.3750 0.4035 0.5285
Re3 0.5965 0.1250 0.9715
Re4 0.8750 0.8465 0.4715
I1 0.2500 0.7500 0.5000
I2 0.5000 0.5000 0.0000

Computed properties:
Total DFT energy (no corrections)   -5.3749 eV per atom
Spin magnetization   0.0 μB/f.u.
Volume   162.8 Å³ per cell
Formation energy without anion corrections   1635 meV/atom

***

Density functional theory data (PBE) for a geometry-optimized MgReTe2I structure.

a = 5.1897 Å, b = 5.1897 Å, c = 5.8165 Å
α = 90.00°, β = 90.00°, γ = 90.00°
Positions (direct):
Mg1 0.0000 0.0000 0.0000
Re1 0.5000 0.5000 0.5000
Te1 0.0000 0.5000 0.5000
Te2 0.5000 0.0000 0.5000
I1 0.5000 0.5000 0.0000

Computed properties:
Total DFT energy (no corrections)   -3.8373 eV per atom
Spin magnetization   0.0 μB/f.u.
Volume   156.7 Å³ per cell
Formation energy without anion corrections   538 meV/atom

***

Density functional theory data (PBE) for a geometry-optimized MgReTeI2 structure.

a = 5.6481 Å, b = 5.6481 Å, c = 5.1081 Å
α = 90.00°, β = 90.00°, γ = 90.00°
Positions (direct):
Mg1 0.0000 0.0000 0.0000
Re1 0.5000 0.5000 0.5000
Te1 0.5000 0.5000 0.0000
I1 0.0000 0.5000 0.5000
I2 0.5000 0.0000 0.5000

Computed properties:
Total DFT energy (no corrections)   -3.5014 eV per atom
Spin magnetization   0.7 μB/f.u.
Volume   163.0 Å³ per cell
Formation energy without anion corrections   556 meV/atom

***

Density functional theory data (PBE) for a geometry-optimized MgReTe2I structure.

a = 5.5367 Å, b = 5.5367 Å, c = 5.4267 Å
α = 90.00°, β = 90.00°, γ = 90.00°
Positions (direct):
Mg1 0.0000 0.0000 0.0000
Re1 0.5000 0.5000 0.5000
Te1 0.0000 0.5000 0.0000
Te2 0.5000 0.0000 0.0000
I1 0.0000 0.0000 0.5000

Computed properties:
Total DFT energy (no corrections)   -3.1970 eV per atom
Spin magnetization   4.4 μB/f.u.
Volume   166.4 Å³ per cell
Formation energy without anion corrections   1178 meV/atom

***

Density functional theory data (PBE) for a geometry-optimized MgReTeI2 structure.

a = 5.5007 Å, b = 5.5007 Å, c = 5.8485 Å
α = 90.00°, β = 90.00°, γ = 90.00°
Positions (direct):
Mg1 0.0000 0.0000 0.0000
Re1 0.5000 0.5000 0.5000
Te1 0.0000 0.0000 0.5000
I1 0.0000 0.5000 0.0000
I2 0.5000 0.0000 0.0000

Computed properties:
Total DFT energy (no corrections)   -3.0774 eV per atom
Spin magnetization   5.0 μB/f.u.
Volume   177.0 Å³ per cell
Formation energy without anion corrections   979 meV/atom

***

Density functional theory data (PBE) for a geometry-optimized MgRhI2 structure.

a = 5.1510 Å, b = 5.1510 Å, c = 5.1510 Å
α = 60.00°, β = 60.00°, γ = 60.00°
Positions (direct):
Mg1 0.0000 0.0000 0.0000
Rh1 0.5000 0.5000 0.5000
I1 0.2500 0.2500 0.2500
I2 0.7500 0.7500 0.7500

Computed properties:
Total DFT energy (no corrections)   -2.7830 eV per atom
Spin magnetization   1.0 μB/f.u.
Volume   96.6 Å³ per cell
Formation energy without anion corrections   229 meV/atom

***

Density functional theory data (PBE) for a geometry-optimized MgRhI structure.

a = 4.4662 Å, b = 4.4663 Å, c = 9.4271 Å
α = 90.21°, β = 103.43°, γ = 120.00°
Positions (direct):
Mg1 0.0000 0.0000 0.0000
Mg2 0.4590 0.7309 0.1908
Rh1 0.1925 0.0985 0.2924
Rh2 0.7413 0.3714 0.1134
I1 0.5450 0.2714 0.8148
I2 0.9329 0.4696 0.4043

Computed properties:
Total DFT energy (no corrections)   -3.8412 eV per atom
Spin magnetization   0.0 μB/f.u.
Volume   156.8 Å³ per cell
Formation energy without anion corrections   -343 meV/atom

***

Density functional theory data (PBE) for a geometry-optimized MgRhI3 structure.

a = 5.4262 Å, b = 5.4262 Å, c = 5.4262 Å
α = 90.00°, β = 90.00°, γ = 90.00°
Positions (direct):
Mg1 0.0000 0.0000 0.0000
Rh1 0.5000 0.5000 0.5000
I1 0.0000 0.5000 0.5000
I2 0.5000 0.0000 0.5000
I3 0.5000 0.5000 0.0000

Computed properties:
Total DFT energy (no corrections)   -2.7328 eV per atom
Spin magnetization   0.0 μB/f.u.
Volume   159.8 Å³ per cell
Formation energy without anion corrections   -13 meV/atom

***

Density functional theory data (PBE) for a geometry-optimized MgRhI structure.

a = 8.7449 Å, b = 4.3104 Å, c = 7.5785 Å
α = 90.00°, β = 90.00°, γ = 90.00°
Positions (direct):
Mg1 0.1134 0.2500 0.0854
Mg2 0.3866 0.7500 0.5854
Mg3 0.6134 0.2500 0.4146
Mg4 0.8866 0.7500 0.9146
Rh1 0.1861 0.7500 0.8788
Rh2 0.3139 0.2500 0.3788
Rh3 0.6861 0.7500 0.6212
Rh4 0.8139 0.2500 0.1212
I1 0.1418 0.2500 0.6604
I2 0.3582 0.7500 0.1604
I3 0.6418 0.2500 0.8396
I4 0.8582 0.7500 0.3396

Computed properties:
Total DFT energy (no corrections)   -3.6308 eV per atom
Spin magnetization   0.0 μB/f.u.
Volume   285.7 Å³ per cell
Formation energy without anion corrections   -132 meV/atom

***

Density functional theory data (PBE) for a geometry-optimized MgRhI structure.

a = 4.8711 Å, b = 4.8711 Å, c = 9.7974 Å
α = 90.00°, β = 90.00°, γ = 120.00°
Positions (direct):
Mg1 0.3333 0.6667 0.2500
Mg2 0.6667 0.3333 0.7500
Rh1 0.0000 0.0000 0.0000
Rh2 0.0000 0.0000 0.5000
I1 0.0000 0.0000 0.2500
I2 0.0000 0.0000 0.7500

Computed properties:
Total DFT energy (no corrections)   -2.7529 eV per atom
Spin magnetization   0.0 μB/f.u.
Volume   201.3 Å³ per cell
Formation energy without anion corrections   746 meV/atom

***

Density functional theory data (PBE) for a geometry-optimized Mg2RhI structure.

a = 4.8849 Å, b = 4.8849 Å, c = 4.8849 Å
α = 60.00°, β = 60.00°, γ = 60.00°
Positions (direct):
Mg1 0.2500 0.2500 0.2500
Mg2 0.7500 0.7500 0.7500
Rh1 0.0000 0.0000 0.0000
I1 0.5000 0.5000 0.5000

Computed properties:
Total DFT energy (no corrections)   -2.8985 eV per atom
Spin magnetization   0.0 μB/f.u.
Volume   82.4 Å³ per cell
Formation energy without anion corrections   124 meV/atom

***

Density functional theory data (PBE) for a geometry-optimized MgRhI structure.

a = 4.0887 Å, b = 4.0982 Å, c = 11.2590 Å
α = 89.27°, β = 89.19°, γ = 63.58°
Positions (direct):
Mg1 0.0082 0.0082 0.3337
Mg2 0.9918 0.9918 0.6663
Rh1 0.3228 0.3222 0.4991
Rh2 0.6772 0.6778 0.5009
I1 0.3282 0.3298 0.8187
I2 0.6718 0.6702 0.1813

Computed properties:
Total DFT energy (no corrections)   -3.8298 eV per atom
Spin magnetization   0.0 μB/f.u.
Volume   168.9 Å³ per cell
Formation energy without anion corrections   -331 meV/atom

***

Density functional theory data (PBE) for a geometry-optimized MgRhI structure.

a = 10.6013 Å, b = 4.2294 Å, c = 4.2294 Å
α = 49.53°, β = 90.00°, γ = 90.00°
Positions (direct):
Mg1 0.0000 0.0000 0.0000
Mg2 0.5000 0.0689 0.0689
Rh1 0.1266 0.2925 0.2925
Rh2 0.8734 0.2925 0.2925
I1 0.3139 0.7765 0.7765
I2 0.6861 0.7765 0.7765

Computed properties:
Total DFT energy (no corrections)   -3.4573 eV per atom
Spin magnetization   0.0 μB/f.u.
Volume   144.3 Å³ per cell
Formation energy without anion corrections   41 meV/atom

***

Density functional theory data (PBE) for a geometry-optimized MgRhI structure.

a = 4.7908 Å, b = 4.7908 Å, c = 10.2645 Å
α = 108.52°, β = 108.52°, γ = 47.67°
Positions (direct):
Mg1 0.0000 0.0000 0.0000
Mg2 0.5186 0.5186 0.7836
Rh1 0.2703 0.2703 0.9227
Rh2 0.7886 0.7886 0.7390
I1 0.2186 0.2186 0.5466
I2 0.7702 0.7702 0.1419

Computed properties:
Total DFT energy (no corrections)   -3.8145 eV per atom
Spin magnetization   0.0 μB/f.u.
Volume   163.3 Å³ per cell
Formation energy without anion corrections   -316 meV/atom

***

Density functional theory data (PBE) for a geometry-optimized MgRhI2 structure.

a = 7.7956 Å, b = 7.7956 Å, c = 7.7956 Å
α = 132.63°, β = 132.63°, γ = 69.24°
Positions (direct):
Mg1 0.0000 0.0000 0.0000
Mg2 0.7500 0.2500 0.5000
Rh1 0.2500 0.7500 0.5000
Rh2 0.5000 0.5000 0.0000
I1 0.1432 0.6250 0.0182
I2 0.3750 0.3932 0.5182
I3 0.6068 0.1250 0.9818
I4 0.8750 0.8568 0.4818

Computed properties:
Total DFT energy (no corrections)   -3.0511 eV per atom
Spin magnetization   1.0 μB/f.u.
Volume   251.7 Å³ per cell
Formation energy without anion corrections   -40 meV/atom

***

Density functional theory data (PBE) for a geometry-optimized MgRh2I structure.

a = 9.1704 Å, b = 9.1704 Å, c = 9.1704 Å
α = 153.37°, β = 153.37°, γ = 38.02°
Positions (direct):
Mg1 0.0000 0.0000 0.0000
Mg2 0.7500 0.2500 0.5000
Rh1 0.1313 0.6250 0.0063
Rh2 0.3750 0.3813 0.5063
Rh3 0.6187 0.1250 0.9937
Rh4 0.8750 0.8687 0.4937
I1 0.2500 0.7500 0.5000
I2 0.5000 0.5000 0.0000

Computed properties:
Total DFT energy (no corrections)   -4.2238 eV per atom
Spin magnetization   0.0 μB/f.u.
Volume   154.7 Å³ per cell
Formation energy without anion corrections   238 meV/atom

***

Density functional theory data (PBE) for a geometry-optimized MgRhI structure.

a = 4.0765 Å, b = 3.8673 Å, c = 10.1857 Å
α = 90.00°, β = 101.49°, γ = 90.00°
Positions (direct):
Mg1 0.0527 0.2500 0.1058
Mg2 0.9473 0.7500 0.8942
Rh1 0.4536 0.2500 0.9067
Rh2 0.5464 0.7500 0.0933
I1 0.3487 0.7500 0.6960
I2 0.6513 0.2500 0.3040

Computed properties:
Total DFT energy (no corrections)   -3.9101 eV per atom
Spin magnetization   0.0 μB/f.u.
Volume   157.4 Å³ per cell
Formation energy without anion corrections   -411 meV/atom

***

Density functional theory data (PBE) for a geometry-optimized MgRh2I structure.

a = 4.6048 Å, b = 4.6048 Å, c = 4.6048 Å
α = 60.00°, β = 60.00°, γ = 60.00°
Positions (direct):
Mg1 0.0000 0.0000 0.0000
Rh1 0.2500 0.2500 0.2500
Rh2 0.7500 0.7500 0.7500
I1 0.5000 0.5000 0.5000

Computed properties:
Total DFT energy (no corrections)   -4.2877 eV per atom
Spin magnetization   0.0 μB/f.u.
Volume   69.0 Å³ per cell
Formation energy without anion corrections   174 meV/atom